#a
# CaMn2Co, relaxed, DFT PBE
data_CaMn2Co
_space_group_name_H-M_alt 'P 1'
_space_group_IT_number 1
_cell_length_a 3.1939
_cell_length_b 4.1934
_cell_length_c 11.0881
_cell_angle_alpha 90.00
_cell_angle_beta 90.00
_cell_angle_gamma 90.00
loop_
_space_group_symop_operation_xyz
'x,y,z'
loop_
_atom_site_label
_atom_site_fract_x
_atom_site_fract_y
_atom_site_fract_z
Ca1 0.0000 0.0000 0.0000
Ca2 0.5000 0.5000 0.5000
Mn1 0.0000 0.0000 0.3765
Mn2 0.0000 0.5000 0.2251
Mn3 0.5000 0.0000 0.7251
Mn4 0.5000 0.5000 0.8765
Co1 0.0000 0.5000 0.7223
Co2 0.5000 0.0000 0.2223
# **M_tot**: 2.1907 μB/atom

#b
# CaMn2Co, relaxed, DFT PBE
data_CaMn2Co
_space_group_name_H-M_alt 'P 1'
_space_group_IT_number 1
_cell_length_a 3.0266
_cell_length_b 3.0266
_cell_length_c 26.7870
_cell_angle_alpha 90.00
_cell_angle_beta 90.00
_cell_angle_gamma 120.00
loop_
_space_group_symop_operation_xyz
'x,y,z'
loop_
_atom_site_label
_atom_site_fract_x
_atom_site_fract_y
_atom_site_fract_z
Ca1 0.0000 0.0000 0.0000
Ca2 0.3333 0.6667 0.6667
Ca3 0.6667 0.3333 0.3333
Mn1 0.0000 0.0000 0.2336
Mn2 0.0000 0.0000 0.7664
Mn3 0.3333 0.6667 0.4330
Mn4 0.3333 0.6667 0.9003
Mn5 0.6667 0.3333 0.0997
Mn6 0.6667 0.3333 0.5670
Co1 0.0000 0.0000 0.5000
Co2 0.3333 0.6667 0.1667
Co3 0.6667 0.3333 0.8333
# **M_tot**: 2.2210 μB/atom

#c
# CaMn2Co, relaxed, DFT PBE
data_CaMn2Co
_space_group_name_H-M_alt 'P 1'
_space_group_IT_number 1
_cell_length_a 3.0627
_cell_length_b 3.0627
_cell_length_c 7.4167
_cell_angle_alpha 90.00
_cell_angle_beta 90.00
_cell_angle_gamma 90.00
loop_
_space_group_symop_operation_xyz
'x,y,z'
loop_
_atom_site_label
_atom_site_fract_x
_atom_site_fract_y
_atom_site_fract_z
Ca1 0.0000 0.0000 0.0000
Mn1 0.5000 0.5000 0.3201
Mn2 0.5000 0.5000 0.6799
Co1 0.0000 0.0000 0.5000
# **M_tot**: 2.1945 μB/atom

Which of them is most stable, and which least? Most stable: #c; least stable: #b.

#a
# CaMn2Co, relaxed, DFT PBE
data_CaMn2Co
_space_group_name_H-M_alt 'P 1'
_space_group_IT_number 1
_cell_length_a 4.1231
_cell_length_b 4.1231
_cell_length_c 15.4484
_cell_angle_alpha 90.00
_cell_angle_beta 90.00
_cell_angle_gamma 120.00
loop_
_space_group_symop_operation_xyz
'x,y,z'
loop_
_atom_site_label
_atom_site_fract_x
_atom_site_fract_y
_atom_site_fract_z
Ca1 0.0000 0.0000 0.0000
Ca2 0.3333 0.6667 0.6667
Ca3 0.6667 0.3333 0.3333
Mn1 0.0000 0.0000 0.2028
Mn2 0.0000 0.0000 0.7972
Mn3 0.3333 0.6667 0.4638
Mn4 0.3333 0.6667 0.8695
Mn5 0.6667 0.3333 0.1305
Mn6 0.6667 0.3333 0.5362
Co1 0.0000 0.0000 0.5000
Co2 0.3333 0.6667 0.1667
Co3 0.6667 0.3333 0.8333
# **M_tot**: 1.9533 μB/atom

#b
# CaMn2Co, relaxed, DFT PBE
data_CaMn2Co
_space_group_name_H-M_alt 'P 1'
_space_group_IT_number 1
_cell_length_a 4.0521
_cell_length_b 4.0521
_cell_length_c 15.7090
_cell_angle_alpha 90.00
_cell_angle_beta 90.00
_cell_angle_gamma 120.00
loop_
_space_group_symop_operation_xyz
'x,y,z'
loop_
_atom_site_label
_atom_site_fract_x
_atom_site_fract_y
_atom_site_fract_z
Ca1 0.0000 0.0000 0.0000
Ca2 0.3333 0.6667 0.6667
Ca3 0.6667 0.3333 0.3333
Mn1 0.0000 0.0000 0.5167
Mn2 0.0000 0.0000 0.8031
Mn3 0.3333 0.6667 0.1834
Mn4 0.3333 0.6667 0.4698
Mn5 0.6667 0.3333 0.1364
Mn6 0.6667 0.3333 0.8501
Co1 0.0000 0.0000 0.1944
Co2 0.3333 0.6667 0.8611
Co3 0.6667 0.3333 0.5277
# **M_tot**: 0.3993 μB/atom

#c
# CaMn2Co, relaxed, DFT PBE
data_CaMn2Co
_space_group_name_H-M_alt 'P 1'
_space_group_IT_number 1
_cell_length_a 6.0211
_cell_length_b 6.0211
_cell_length_c 6.0211
_cell_angle_alpha 90.00
_cell_angle_beta 90.00
_cell_angle_gamma 90.00
loop_
_space_group_symop_operation_xyz
'x,y,z'
loop_
_atom_site_label
_atom_site_fract_x
_atom_site_fract_y
_atom_site_fract_z
Ca1 0.0000 0.0000 0.0000
Ca2 0.0000 0.5000 0.5000
Ca3 0.5000 0.0000 0.5000
Ca4 0.5000 0.5000 0.0000
Mn1 0.2500 0.2500 0.2500
Mn2 0.2500 0.2500 0.7500
Mn3 0.2500 0.7500 0.2500
Mn4 0.2500 0.7500 0.7500
Mn5 0.7500 0.2500 0.2500
Mn6 0.7500 0.2500 0.7500
Mn7 0.7500 0.7500 0.2500
Mn8 0.7500 0.7500 0.7500
Co1 0.0000 0.0000 0.5000
Co2 0.0000 0.5000 0.0000
Co3 0.5000 0.0000 0.0000
Co4 0.5000 0.5000 0.5000
# **M_tot**: 0.0001 μB/atom

Which of them is most stable, and which least? Most stable: #b; least stable: #c.

#a
# Ca3MnCo, relaxed, DFT PBE
data_Ca3MnCo
_space_group_name_H-M_alt 'P 1'
_space_group_IT_number 1
_cell_length_a 5.2405
_cell_length_b 5.2405
_cell_length_c 5.2405
_cell_angle_alpha 90.00
_cell_angle_beta 90.00
_cell_angle_gamma 90.00
loop_
_space_group_symop_operation_xyz
'x,y,z'
loop_
_atom_site_label
_atom_site_fract_x
_atom_site_fract_y
_atom_site_fract_z
Ca1 0.0000 0.0000 0.5000
Ca2 0.0000 0.5000 0.0000
Ca3 0.5000 0.0000 0.0000
Mn1 0.5000 0.5000 0.5000
Co1 0.0000 0.0000 0.0000
# **M_tot**: 0.1060 μB/atom

#b
# Ca3MnCo, relaxed, DFT PBE
data_Ca3MnCo
_space_group_name_H-M_alt 'P 1'
_space_group_IT_number 1
_cell_length_a 5.4191
_cell_length_b 5.4191
_cell_length_c 5.4191
_cell_angle_alpha 90.00
_cell_angle_beta 90.00
_cell_angle_gamma 90.00
loop_
_space_group_symop_operation_xyz
'x,y,z'
loop_
_atom_site_label
_atom_site_fract_x
_atom_site_fract_y
_atom_site_fract_z
Ca1 0.0000 0.0000 0.5000
Ca2 0.0000 0.5000 0.0000
Ca3 0.5000 0.0000 0.0000
Mn1 0.0000 0.0000 0.0000
Co1 0.5000 0.5000 0.5000
# **M_tot**: 0.8888 μB/atom

Which of them is most stable, and which least? Most stable: #b; least stable: #a.

#a
# Ca2CoMo, relaxed, DFT PBE
data_Ca2CoMo
_space_group_name_H-M_alt 'P 1'
_space_group_IT_number 1
_cell_length_a 4.5830
_cell_length_b 4.5830
_cell_length_c 8.3684
_cell_angle_alpha 90.00
_cell_angle_beta 90.00
_cell_angle_gamma 90.00
loop_
_space_group_symop_operation_xyz
'x,y,z'
loop_
_atom_site_label
_atom_site_fract_x
_atom_site_fract_y
_atom_site_fract_z
Ca1 0.0000 0.5000 0.2500
Ca2 0.0000 0.5000 0.7500
Ca3 0.5000 0.0000 0.2500
Ca4 0.5000 0.0000 0.7500
Co1 0.0000 0.0000 0.0000
Co2 0.5000 0.5000 0.5000
Mo1 0.0000 0.0000 0.5000
Mo2 0.5000 0.5000 0.0000
# **M_tot**: 1.0017 μB/atom

#b
# Ca2CoMo, relaxed, DFT PBE
data_Ca2CoMo
_space_group_name_H-M_alt 'P 1'
_space_group_IT_number 1
_cell_length_a 3.5509
_cell_length_b 5.1259
_cell_length_c 10.2200
_cell_angle_alpha 90.00
_cell_angle_beta 90.00
_cell_angle_gamma 90.00
loop_
_space_group_symop_operation_xyz
'x,y,z'
loop_
_atom_site_label
_atom_site_fract_x
_atom_site_fract_y
_atom_site_fract_z
Ca1 0.0000 0.0000 0.0000
Ca2 0.0000 0.5000 0.2126
Ca3 0.5000 0.0000 0.7126
Ca4 0.5000 0.5000 0.5000
Co1 0.0000 0.5000 0.7688
Co2 0.5000 0.0000 0.2688
Mo1 0.0000 0.0000 0.4028
Mo2 0.5000 0.5000 0.9028
# **M_tot**: 0.0001 μB/atom

#c
# Ca2CoMo, relaxed, DFT PBE
data_Ca2CoMo
_space_group_name_H-M_alt 'P 1'
_space_group_IT_number 1
_cell_length_a 3.1374
_cell_length_b 3.1374
_cell_length_c 28.6132
_cell_angle_alpha 90.00
_cell_angle_beta 90.00
_cell_angle_gamma 120.00
loop_
_space_group_symop_operation_xyz
'x,y,z'
loop_
_atom_site_label
_atom_site_fract_x
_atom_site_fract_y
_atom_site_fract_z
Ca1 0.0000 0.0000 0.2430
Ca2 0.0000 0.0000 0.7570
Ca3 0.3333 0.6667 0.4237
Ca4 0.3333 0.6667 0.9096
Ca5 0.6667 0.3333 0.0904
Ca6 0.6667 0.3333 0.5763
Co1 0.0000 0.0000 0.5000
Co2 0.3333 0.6667 0.1667
Co3 0.6667 0.3333 0.8333
Mo1 0.0000 0.0000 0.0000
Mo2 0.3333 0.6667 0.6667
Mo3 0.6667 0.3333 0.3333
# **M_tot**: 0.1205 μB/atom

Which of them is most stable, and which least? Most stable: #b; least stable: #a.

#a
# Ca2CoMo, relaxed, DFT PBE
data_Ca2CoMo
_space_group_name_H-M_alt 'P 1'
_space_group_IT_number 1
_cell_length_a 3.3149
_cell_length_b 3.5521
_cell_length_c 16.8709
_cell_angle_alpha 90.00
_cell_angle_beta 90.00
_cell_angle_gamma 90.00
loop_
_space_group_symop_operation_xyz
'x,y,z'
loop_
_atom_site_label
_atom_site_fract_x
_atom_site_fract_y
_atom_site_fract_z
Ca1 0.0000 0.0000 0.1514
Ca2 0.0000 0.0000 0.8486
Ca3 0.5000 0.5000 0.3486
Ca4 0.5000 0.5000 0.6514
Co1 0.0000 0.5000 0.5000
Co2 0.5000 0.0000 0.0000
Mo1 0.0000 0.5000 0.0000
Mo2 0.5000 0.0000 0.5000
# **M_tot**: 0.0000 μB/atom

#b
# Ca2CoMo, relaxed, DFT PBE
data_Ca2CoMo
_space_group_name_H-M_alt 'P 1'
_space_group_IT_number 1
_cell_length_a 4.1852
_cell_length_b 4.2144
_cell_length_c 4.6720
_cell_angle_alpha 90.00
_cell_angle_beta 90.00
_cell_angle_gamma 90.00
loop_
_space_group_symop_operation_xyz
'x,y,z'
loop_
_atom_site_label
_atom_site_fract_x
_atom_site_fract_y
_atom_site_fract_z
Ca1 0.0000 0.0000 0.0000
Ca2 0.5000 0.5000 0.0000
Co1 0.0000 0.5000 0.5000
Mo1 0.5000 0.0000 0.5000
# **M_tot**: 0.6861 μB/atom

#c
# Ca2CoMo, relaxed, DFT PBE
data_Ca2CoMo
_space_group_name_H-M_alt 'P 1'
_space_group_IT_number 1
_cell_length_a 6.0421
_cell_length_b 9.4133
_cell_length_c 2.9082
_cell_angle_alpha 90.00
_cell_angle_beta 90.15
_cell_angle_gamma 90.00
loop_
_space_group_symop_operation_xyz
'x,y,z'
loop_
_atom_site_label
_atom_site_fract_x
_atom_site_fract_y
_atom_site_fract_z
Ca1 0.2500 0.2500 0.0000
Ca2 0.2500 0.7500 0.0000
Ca3 0.7500 0.2500 0.0000
Ca4 0.7500 0.7500 0.0000
Co1 0.0000 0.0000 0.5000
Co2 0.5000 0.5000 0.5000
Mo1 0.0000 0.5000 0.5000
Mo2 0.5000 0.0000 0.5000
# **M_tot**: 0.5299 μB/atom

#d
# Ca2CoMo, relaxed, DFT PBE
data_Ca2CoMo
_space_group_name_H-M_alt 'P 1'
_space_group_IT_number 1
_cell_length_a 3.2327
_cell_length_b 3.2333
_cell_length_c 8.8473
_cell_angle_alpha 90.00
_cell_angle_beta 90.06
_cell_angle_gamma 90.00
loop_
_space_group_symop_operation_xyz
'x,y,z'
loop_
_atom_site_label
_atom_site_fract_x
_atom_site_fract_y
_atom_site_fract_z
Ca1 0.0000 0.0000 0.0000
Ca2 0.4994 0.5000 0.6154
Co1 0.4984 0.5000 0.2457
Mo1 0.9988 0.0000 0.3508
# **M_tot**: 0.0000 μB/atom

Which of them is most stable, and which least? Most stable: #d; least stable: #b.

#a
# Ca2CoMo, relaxed, DFT PBE
data_Ca2CoMo
_space_group_name_H-M_alt 'P 1'
_space_group_IT_number 1
_cell_length_a 2.8935
_cell_length_b 4.7390
_cell_length_c 5.9751
_cell_angle_alpha 90.00
_cell_angle_beta 90.00
_cell_angle_gamma 90.00
loop_
_space_group_symop_operation_xyz
'x,y,z'
loop_
_atom_site_label
_atom_site_fract_x
_atom_site_fract_y
_atom_site_fract_z
Ca1 0.0000 0.0000 0.2466
Ca2 0.0000 0.0000 0.7534
Co1 0.5000 0.5000 0.0000
Mo1 0.5000 0.5000 0.5000
# **M_tot**: 0.4477 μB/atom

#b
# Ca2CoMo, relaxed, DFT PBE
data_Ca2CoMo
_space_group_name_H-M_alt 'P 1'
_space_group_IT_number 1
_cell_length_a 10.4666
_cell_length_b 10.4666
_cell_length_c 4.4436
_cell_angle_alpha 90.00
_cell_angle_beta 90.00
_cell_angle_gamma 90.00
loop_
_space_group_symop_operation_xyz
'x,y,z'
loop_
_atom_site_label
_atom_site_fract_x
_atom_site_fract_y
_atom_site_fract_z
Ca1 0.0837 0.2500 0.1250
Ca2 0.2500 0.5837 0.3750
Ca3 0.2500 0.9163 0.8750
Ca4 0.4163 0.2500 0.6250
Ca5 0.5837 0.7500 0.6250
Ca6 0.7500 0.0837 0.8750
Ca7 0.7500 0.4163 0.3750
Ca8 0.9163 0.7500 0.1250
Co1 0.0000 0.0000 0.0000
Co2 0.0000 0.5000 0.2500
Co3 0.5000 0.0000 0.7500
Co4 0.5000 0.5000 0.5000
Mo1 0.0000 0.0000 0.5000
Mo2 0.0000 0.5000 0.7500
Mo3 0.5000 0.0000 0.2500
Mo4 0.5000 0.5000 0.0000
# **M_tot**: 0.6275 μB/atom

#c
# Ca2CoMo, relaxed, DFT PBE
data_Ca2CoMo
_space_group_name_H-M_alt 'P 1'
_space_group_IT_number 1
_cell_length_a 4.8217
_cell_length_b 4.8217
_cell_length_c 6.8114
_cell_angle_alpha 90.00
_cell_angle_beta 90.00
_cell_angle_gamma 90.00
loop_
_space_group_symop_operation_xyz
'x,y,z'
loop_
_atom_site_label
_atom_site_fract_x
_atom_site_fract_y
_atom_site_fract_z
Ca1 0.0000 0.0000 0.0000
Ca2 0.0000 0.5000 0.2500
Ca3 0.5000 0.0000 0.7500
Ca4 0.5000 0.5000 0.5000
Co1 0.0000 0.5000 0.7500
Co2 0.5000 0.0000 0.2500
Mo1 0.0000 0.0000 0.5000
Mo2 0.5000 0.5000 0.0000
# **M_tot**: 0.3718 μB/atom

Which of them is most stable, and which least? Most stable: #b; least stable: #c.

#a
# CaCoMo, relaxed, DFT PBE
data_CaCoMo
_space_group_name_H-M_alt 'P 1'
_space_group_IT_number 1
_cell_length_a 6.1285
_cell_length_b 6.1285
_cell_length_c 6.1285
_cell_angle_alpha 90.00
_cell_angle_beta 90.00
_cell_angle_gamma 90.00
loop_
_space_group_symop_operation_xyz
'x,y,z'
loop_
_atom_site_label
_atom_site_fract_x
_atom_site_fract_y
_atom_site_fract_z
Ca1 0.0000 0.0000 0.0000
Ca2 0.0000 0.5000 0.5000
Ca3 0.5000 0.0000 0.5000
Ca4 0.5000 0.5000 0.0000
Co1 0.2500 0.2500 0.7500
Co2 0.2500 0.7500 0.2500
Co3 0.7500 0.2500 0.2500
Co4 0.7500 0.7500 0.7500
Mo1 0.0000 0.0000 0.5000
Mo2 0.0000 0.5000 0.0000
Mo3 0.5000 0.0000 0.0000
Mo4 0.5000 0.5000 0.5000
# **M_tot**: 0.0000 μB/atom

#b
# CaCoMo, relaxed, DFT PBE
data_CaCoMo
_space_group_name_H-M_alt 'P 1'
_space_group_IT_number 1
_cell_length_a 3.9231
_cell_length_b 3.9231
_cell_length_c 4.7886
_cell_angle_alpha 90.00
_cell_angle_beta 90.00
_cell_angle_gamma 120.00
loop_
_space_group_symop_operation_xyz
'x,y,z'
loop_
_atom_site_label
_atom_site_fract_x
_atom_site_fract_y
_atom_site_fract_z
Ca1 0.0000 0.0000 0.0000
Co1 0.6667 0.3333 0.5000
Mo1 0.3333 0.6667 0.5000
# **M_tot**: 0.0000 μB/atom

#c
# CaCoMo, relaxed, DFT PBE
data_CaCoMo
_space_group_name_H-M_alt 'P 1'
_space_group_IT_number 1
_cell_length_a 3.1310
_cell_length_b 3.1310
_cell_length_c 11.5282
_cell_angle_alpha 90.00
_cell_angle_beta 90.00
_cell_angle_gamma 90.00
loop_
_space_group_symop_operation_xyz
'x,y,z'
loop_
_atom_site_label
_atom_site_fract_x
_atom_site_fract_y
_atom_site_fract_z
Ca1 0.0000 0.0000 0.0000
Ca2 0.5000 0.5000 0.5000
Co1 0.0000 0.0000 0.7001
Co2 0.5000 0.5000 0.2001
Mo1 0.0000 0.0000 0.2858
Mo2 0.5000 0.5000 0.7858
# **M_tot**: 0.0000 μB/atom

Which of them is most stable, and which least? Most stable: #c; least stable: #a.

#a
# CaCoMo, relaxed, DFT PBE
data_CaCoMo
_space_group_name_H-M_alt 'P 1'
_space_group_IT_number 1
_cell_length_a 10.9399
_cell_length_b 4.2182
_cell_length_c 5.0518
_cell_angle_alpha 90.00
_cell_angle_beta 93.05
_cell_angle_gamma 90.00
loop_
_space_group_symop_operation_xyz
'x,y,z'
loop_
_atom_site_label
_atom_site_fract_x
_atom_site_fract_y
_atom_site_fract_z
Ca1 0.0000 0.0000 0.0000
Ca2 0.0492 0.5000 0.4983
Ca3 0.5000 0.5000 0.0000
Ca4 0.5492 0.0000 0.4983
Co1 0.2309 0.5000 0.9840
Co2 0.2755 0.0000 0.2572
Co3 0.7309 0.0000 0.9840
Co4 0.7755 0.5000 0.2572
Mo1 0.2720 0.0000 0.7685
Mo2 0.3170 0.5000 0.4728
Mo3 0.7720 0.5000 0.7685
Mo4 0.8170 0.0000 0.4728
# **M_tot**: 0.1638 μB/atom

#b
# CaCoMo, relaxed, DFT PBE
data_CaCoMo
_space_group_name_H-M_alt 'P 1'
_space_group_IT_number 1
_cell_length_a 6.4132
_cell_length_b 6.4132
_cell_length_c 6.4132
_cell_angle_alpha 90.00
_cell_angle_beta 90.00
_cell_angle_gamma 90.00
loop_
_space_group_symop_operation_xyz
'x,y,z'
loop_
_atom_site_label
_atom_site_fract_x
_atom_site_fract_y
_atom_site_fract_z
Ca1 0.0000 0.0000 0.0000
Ca2 0.0000 0.5000 0.5000
Ca3 0.5000 0.0000 0.5000
Ca4 0.5000 0.5000 0.0000
Co1 0.2500 0.2500 0.2500
Co2 0.2500 0.7500 0.7500
Co3 0.7500 0.2500 0.7500
Co4 0.7500 0.7500 0.2500
Mo1 0.2500 0.2500 0.7500
Mo2 0.2500 0.7500 0.2500
Mo3 0.7500 0.2500 0.2500
Mo4 0.7500 0.7500 0.7500
# **M_tot**: 1.4032 μB/atom

Which of them is most stable, and which least? Most stable: #a; least stable: #b.